{
  "formula": "Tl3AsF",
  "functional": "PBE",
  "state": "optimized geometry",
  "sg": "No. 221",
  "dos_at_fermi_per_ev_cell": 3.6,
  "total_energy_ev_per_cell": -15.86,
  "lattice": [[5.194, 0.000, 0.000], [0.000, 5.194, 0.000], [0.000, 0.000, 5.194]],
  "species": ["Tl", "As", "Tl", "Tl", "F"],
  "frac_coords": [[0.500, 0.000, 0.000], [0.500, 0.500, 0.500], [0.000, 0.000, 0.500], [0.000, 0.500, 0.000], [0.000, 0.000, 0.000]]
}

{
  "formula": "LuNi2Pt",
  "functional": "PBE",
  "state": "optimized geometry",
  "e_form_ev_per_atom": -0.527,
  "sg": "No. 225",
  "dos_at_fermi_per_ev_cell": 4.5,
  "total_energy_ev_per_cell": -24.23,
  "lattice": [[-2.318, -3.471, 1.364], [0.688, -3.945, -1.801], [1.955, -3.167, 2.330]],
  "species": ["Ni", "Lu", "Ni", "Pt"],
  "frac_coords": [[0.750, 0.750, 0.750], [0.000, 0.000, 0.000], [0.250, 0.250, 0.250], [0.500, 0.500, 0.500]]
}